1.
Entry from Alexandria via LeMat-Bulk: a geometry-optimized H2Os2Pt structure (PBE).

Cell: 6.0444 6.0444 2.8243 Å, 90.00 90.00 90.00°
Fractional positions:
H  0.1011  0.3989  0.0000
H  0.3989  0.8989  0.0000
H  0.6011  0.1011  0.0000
H  0.8989  0.6011  0.0000
Os  0.1457  0.6457  0.5000
Os  0.3543  0.1457  0.5000
Os  0.6457  0.8543  0.5000
Os  0.8543  0.3543  0.5000
Pt  0.0000  0.0000  0.0000
Pt  0.5000  0.5000  0.0000

Summary:
Symmetry: P4/mbm, No. 127
Raw total energy (eV per cell): -63.805
Spin magnetization (μB/atom): 0.000
Excess energy over the best structure of this formula in the dataset (meV per atom): 256

***

2.
Entry from Alexandria via LeMat-Bulk: a geometry-optimized H2OsPt2 structure (PBE).

Cell: 6.6800 6.6800 2.6729 Å, 90.00 90.00 90.00°
Fractional positions:
H  0.1037  0.3963  0.0000
H  0.3963  0.8963  0.0000
H  0.6037  0.1037  0.0000
H  0.8963  0.6037  0.0000
Os  0.0000  0.0000  0.0000
Os  0.5000  0.5000  0.0000
Pt  0.2195  0.2805  0.5000
Pt  0.2805  0.7805  0.5000
Pt  0.7195  0.2195  0.5000
Pt  0.7805  0.7195  0.5000

Summary:
Symmetry: P4/mbm, No. 127
Raw total energy (eV per cell): -57.198
Spin magnetization (μB/atom): 0.000
Excess energy over the best structure of this formula in the dataset (meV per atom): 0

***

3.
Entry from Alexandria via LeMat-Bulk: a geometry-optimized H2Os2Pt structure (PBE).

Cell: 6.6438 6.6438 2.6423 Å, 90.00 90.00 90.00°
Fractional positions:
H  0.0995  0.4005  0.0000
H  0.4005  0.9005  0.0000
H  0.5995  0.0995  0.0000
H  0.9005  0.5995  0.0000
Os  0.1291  0.6291  0.5000
Os  0.3709  0.1291  0.5000
Os  0.6291  0.8709  0.5000
Os  0.8709  0.3709  0.5000
Pt  0.0000  0.0000  0.5000
Pt  0.5000  0.5000  0.5000

Summary:
Symmetry: P4/mbm, No. 127
Raw total energy (eV per cell): -61.784
Spin magnetization (μB/atom): 0.000
Excess energy over the best structure of this formula in the dataset (meV per atom): 458

***

4.
Entry from Alexandria via LeMat-Bulk: a geometry-optimized HOsRu2Pt structure (PBE).

Cell: 3.9146 3.9146 3.8982 Å, 90.00 90.00 90.00°
Fractional positions:
H  0.0000  0.0000  0.0000
Os  0.0000  0.0000  0.5000
Ru  0.0000  0.5000  0.0000
Ru  0.5000  0.0000  0.0000
Pt  0.5000  0.5000  0.5000

Summary:
Symmetry: P4/mmm, No. 123
Raw total energy (eV per cell): -38.370
Spin magnetization (μB/atom): 0.000

***

5.
Entry from Alexandria via LeMat-Bulk: a geometry-optimized Sc2HOsPt structure (PBE).

Cell: 4.4714 4.4714 3.5727 Å, 90.00 90.00 90.00°
Fractional positions:
Sc  0.0000  0.5000  0.0000
Sc  0.5000  0.0000  0.0000
H  0.0000  0.0000  0.0000
Os  0.0000  0.0000  0.5000
Pt  0.5000  0.5000  0.5000

Summary:
Symmetry: P4/mmm, No. 123
Raw total energy (eV per cell): -36.888
Spin magnetization (μB/atom): 0.000

***

6.
Entry from Alexandria via LeMat-Bulk: a geometry-optimized Ta2HOsPt structure (PBE).

Cell: 4.1158 4.1158 3.9524 Å, 90.00 90.00 90.00°
Fractional positions:
Ta  0.0000  0.5000  0.0000
Ta  0.5000  0.0000  0.0000
H  0.0000  0.0000  0.0000
Os  0.0000  0.0000  0.5000
Pt  0.5000  0.5000  0.5000

Summary:
Symmetry: P4/mmm, No. 123
Raw total energy (eV per cell): -46.008
Spin magnetization (μB/atom): 0.000
Excess energy over the best structure of this formula in the dataset (meV per atom): 0

***

7.
Entry from Alexandria via LeMat-Bulk: a geometry-optimized TaHOs2Pt structure (PBE).

Cell: 4.0217 4.0217 3.9173 Å, 90.00 90.00 90.00°
Fractional positions:
Ta  0.0000  0.0000  0.0000
H  0.5000  0.5000  0.5000
Os  0.0000  0.5000  0.5000
Os  0.5000  0.0000  0.5000
Pt  0.5000  0.5000  0.0000

Summary:
Symmetry: P4/mmm, No. 123
Raw total energy (eV per cell): -44.603
Spin magnetization (μB/atom): 0.000
Excess energy over the best structure of this formula in the dataset (meV per atom): 6

***

8.
Entry from Alexandria via LeMat-Bulk: a geometry-optimized TaHOs2Pt structure (PBE).

Cell: 3.9688 3.9688 4.0138 Å, 90.00 90.00 90.00°
Fractional positions:
Ta  0.0000  0.0000  0.0000
H  0.0000  0.0000  0.5000
Os  0.0000  0.5000  0.5000
Os  0.5000  0.0000  0.5000
Pt  0.5000  0.5000  0.0000

Summary:
Symmetry: P4/mmm, No. 123
Raw total energy (eV per cell): -44.635
Spin magnetization (μB/atom): 0.000
Excess energy over the best structure of this formula in the dataset (meV per atom): 0

***

9.
Entry from Alexandria via LeMat-Bulk: a geometry-optimized Ta2HOsPt structure (PBE).

Cell: 4.1254 4.1254 3.9464 Å, 90.00 90.00 90.00°
Fractional positions:
Ta  0.0000  0.5000  0.0000
Ta  0.5000  0.0000  0.0000
H  0.0000  0.0000  0.0000
Os  0.5000  0.5000  0.5000
Pt  0.0000  0.0000  0.5000

Summary:
Symmetry: P4/mmm, No. 123
Raw total energy (eV per cell): -45.721
Spin magnetization (μB/atom): 0.000
Excess energy over the best structure of this formula in the dataset (meV per atom): 57

***

10.
Entry from Alexandria via LeMat-Bulk: a geometry-optimized TcHOs2Pt structure (PBE).

Cell: 3.9316 3.9316 3.9181 Å, 90.00 90.00 90.00°
Fractional positions:
Tc  0.0000  0.0000  0.0000
H  0.0000  0.0000  0.5000
Os  0.0000  0.5000  0.5000
Os  0.5000  0.0000  0.5000
Pt  0.5000  0.5000  0.0000

Summary:
Symmetry: P4/mmm, No. 123
Raw total energy (eV per cell): -41.361
Spin magnetization (μB/atom): 0.000

***

11.
Entry from Alexandria via LeMat-Bulk: a geometry-optimized TeHOs2Pt structure (PBE).

Cell: 4.2037 4.2037 3.8485 Å, 90.00 90.00 90.00°
Fractional positions:
Te  0.0000  0.0000  0.0000
H  0.5000  0.5000  0.5000
Os  0.0000  0.5000  0.5000
Os  0.5000  0.0000  0.5000
Pt  0.5000  0.5000  0.0000

Summary:
Symmetry: P4/mmm, No. 123
Raw total energy (eV per cell): -31.639
Spin magnetization (μB/atom): 0.000

***

12.
Entry from Alexandria via LeMat-Bulk: a geometry-optimized TeHOsPt2 structure (PBE).

Cell: 4.3166 4.3166 3.8378 Å, 90.00 90.00 90.00°
Fractional positions:
Te  0.0000  0.0000  0.0000
H  0.5000  0.5000  0.5000
Os  0.5000  0.5000  0.0000
Pt  0.0000  0.5000  0.5000
Pt  0.5000  0.0000  0.5000

Summary:
Symmetry: P4/mmm, No. 123
Raw total energy (eV per cell): -27.429
Spin magnetization (μB/atom): 0.000